(1)
# SnSb3As (PBE, relaxed)
data_SnSb3As
_chemical_formula_sum 'Sn4 Sb12 As4'
_space_group_name_H-M_alt 'C 1 c 1'
_space_group_IT_number 9
_cell_length_a 12.180
_cell_length_b 6.630
_cell_length_c 8.069
_cell_angle_alpha 90.00
_cell_angle_beta 100.77
_cell_angle_gamma 90.00
loop_
_space_group_symop_operation_xyz
'x,y,z'
'x,-y,z+1/2'
'x+1/2,y+1/2,z'
'x+1/2,-y+1/2,z+1/2'
loop_
_atom_site_label
_atom_site_type_symbol
_atom_site_fract_x
_atom_site_fract_y
_atom_site_fract_z
Sn1 Sn 0.000 0.079 0.000
Sb1 Sb 0.034 0.395 0.256
Sb2 Sb 0.223 0.341 0.740
Sb3 Sb 0.362 0.321 0.172
As1 As 0.179 0.139 0.444
# D(E_F) ... 0.7 states/eV per cell
# Excess energy over the best structure of this formula in the dataset ... 0.0 meV/atom
# Mass density ... 5.80 g/cm3
# Energy relative to the elements, uncorrected ... 0.05 eV per atom

(2)
# SnSbAs2 (PBE, relaxed)
data_SnSbAs2
_chemical_formula_sum 'Sn4 Sb4 As8'
_space_group_name_H-M_alt 'F m -3 m'
_space_group_IT_number 225
_space_group_name_Hall '-F 4 2 3'
_cell_length_a 7.159
_cell_length_b 7.159
_cell_length_c 7.159
_cell_angle_alpha 90.00
_cell_angle_beta 90.00
_cell_angle_gamma 90.00
loop_
_atom_site_label
_atom_site_type_symbol
_atom_site_fract_x
_atom_site_fract_y
_atom_site_fract_z
Sn1 Sn 0.000 0.000 0.000
Sb1 Sb 0.000 0.000 0.500
As1 As 0.250 0.250 0.250
# D(E_F) ... 10.6 states/eV per cell
# Excess energy over the best structure of this formula in the dataset ... 267.7 meV/atom
# Mass density ... 7.07 g/cm3
# Energy relative to the elements, uncorrected ... 0.25 eV per atom

(3)
# SnSb2As (PBE, relaxed)
data_SnSb2As
_chemical_formula_sum 'Sn3 Sb6 As3'
_space_group_name_H-M_alt 'R -3 m'
_space_group_IT_number 166
_space_group_name_Hall '-R 3 2"'
_cell_length_a 4.2127
_cell_length_b 4.2127
_cell_length_c 21.2860
_cell_angle_alpha 90.00
_cell_angle_beta 90.00
_cell_angle_gamma 120.00
loop_
_atom_site_label
_atom_site_type_symbol
_atom_site_fract_x
_atom_site_fract_y
_atom_site_fract_z
Sn1 Sn 0.0000 0.0000 0.0000
Sb1 Sb 0.0000 0.0000 0.2446
As1 As 0.0000 0.0000 0.5000
# D(E_F) ... 6.8 states/eV per cell
# Excess energy over the best structure of this formula in the dataset ... 0.0 meV/atom
# Mass density ... 6.66 g/cm3
# Energy relative to the elements, uncorrected ... 0.06 eV per atom

Number 3 is which compound? SnSb2As